Computed, not measured: an optimized crystal structure of AcCd2SnPd2 at the PBE level of DFT.

Cell lengths 5.330, 5.330, 6.760 Å; angles 113.22, 113.22, 90.00 degrees
Element x y z (fractional)
Sn1 0.000 0.000 0.000
Cd1 0.750 0.250 0.500
Pd1 0.768 0.768 0.537
Ac1 0.500 0.500 0.000
Pd2 0.232 0.232 0.463
Cd2 0.250 0.750 0.500

Summary:
space group = I4/mmm, No. 139
ΔH_f (0 K) = -0.344 eV/atom

=====

Computed, not measured: an optimized crystal structure of Cu2HgAuC at the PBE level of DFT.

Cell lengths 3.987, 4.639, 3.987 Å; angles 90.00, 90.00, 90.00 degrees
Element x y z (fractional)
C1 0.000 0.000 0.000
Cu1 0.000 0.000 0.500
Hg1 0.000 0.500 0.000
Au1 0.500 0.500 0.500
Cu2 0.500 0.000 0.000

Summary:
E above lowest polymorph = 0.081 eV/atom
space group = P4/mmm, No. 123
ΔH_f (0 K) = 0.642 eV/atom

=====

Computed, not measured: an optimized crystal structure of Ac4Nd3Mg at the PBE level of DFT.

Cell lengths 4.377, 4.377, 16.189 Å; angles 90.00, 90.00, 90.00 degrees
Element x y z (fractional)
Nd1 0.500 0.500 0.746
Ac1 0.000 0.000 0.118
Ac2 0.000 0.000 0.380
Ac3 0.000 0.000 0.620
Nd2 0.500 0.500 0.254
Mg1 0.500 0.500 0.000
Nd3 0.500 0.500 0.500
Ac4 0.000 0.000 0.882

Summary:
space group = P4/mmm, No. 123
ΔH_f (0 K) = 0.066 eV/atom

=====

Computed, not measured: an optimized crystal structure of Ba5DyS6 at the PBE level of DFT.

Cell lengths 7.673, 7.700, 7.689 Å; angles 59.95, 80.33, 70.40 degrees
Element x y z (fractional)
S1 0.770 0.077 0.303
S2 0.230 0.620 0.303
S3 0.230 0.923 0.697
S4 0.770 0.380 0.697
Ba1 0.000 0.334 0.332
Ba2 0.500 0.830 0.340
Ba3 0.000 0.666 0.668
S5 0.232 0.224 0.000
Ba4 0.500 0.170 0.660
S6 0.768 0.776 0.000
Ba5 0.500 0.500 0.000
Dy1 0.000 0.000 0.000

Summary:
space group = C2/m, No. 12
formation energy from raw total energies = -2.03 eV per atom

=====

Computed, not measured: an optimized crystal structure of NaCaCd10 at the PBE level of DFT.

Cell lengths 4.938, 5.919, 10.279 Å; angles 90.00, 90.00, 90.00 degrees
Element x y z (fractional)
Cd1 0.500 0.246 0.244
Cd2 0.000 0.000 0.664
Na1 0.000 0.500 0.500
Cd3 0.500 0.500 0.000
Ca1 0.000 0.000 0.000
Cd4 0.500 0.000 0.500
Cd5 0.500 0.754 0.244
Cd6 0.000 0.500 0.830
Cd7 0.000 0.500 0.170
Cd8 0.500 0.246 0.756
Cd9 0.000 0.000 0.336
Cd10 0.500 0.754 0.756

Summary:
space group = Pmmm, No. 47
ΔH_f (0 K) = -0.097 eV/atom

=====

Computed, not measured: an optimized crystal structure of BaCoPb at the PBE level of DFT.

Cell lengths 4.572, 4.572, 5.012 Å; angles 90.00, 90.00, 120.00 degrees
Element x y z (fractional)
Co1 0.667 0.333 0.500
Pb1 0.333 0.667 0.500
Ba1 0.000 0.000 0.000

Summary:
space group = P-6m2, No. 187
ΔH_f (0 K) = 0.100 eV/atom